Density functional theory data (GGA-PBE) for a geometry-optimized Nd2Sm2Tm3 structure.

a b c (Å): 5.9495 5.6053 8.6275
angles (deg): 76.45 69.83 57.95
Atoms (fractional coordinates):
Tm: 0.6418 0.1470 0.5694
Tm: 0.5000 0.0000 0.0000
Nd: 0.2142 0.7108 0.8609
Nd: 0.7858 0.2892 0.1391
Tm: 0.3582 0.8530 0.4306
Sm: 0.9306 0.4309 0.7080
Sm: 0.0694 0.5691 0.2920

Properties
DOS(E_F) = 13.5 states/eV/cell
Space group = C2/m (12)
Spin magnetization = 0.000 μB per formula unit
VASP energy = -4.506 eV per atom
Energy of formation = 0.121 eV per atom